DFT (PBE+U) results for crystalline AgW3O9 at its relaxed geometry.

E = -184.4 eV/cell
Calculated density = 7.26 g/cm3
Total moment = 0.99 μB/f.u.

Geometry as CIF:
```
data_AgW3O9
_chemical_formula_sum 'Ag2 W6 O18'
_cell_length_a 5.6674
_cell_length_b 7.6732
_cell_length_c 8.4509
_cell_angle_alpha 90.00
_cell_angle_beta 90.24
_cell_angle_gamma 90.00
_symmetry_space_group_name_H-M 'P 1 21/m 1'
_symmetry_Int_Tables_number 11
_symmetry_space_group_name_Hall '-P 2yb'
loop_
_atom_site_label
_atom_site_type_symbol
_atom_site_fract_x
_atom_site_fract_y
_atom_site_fract_z
_atom_site_occupancy
Ag1 Ag 0.0067 0.2500 0.0004 1
W1 W 0.0000 0.0000 0.5000 1
W2 W 0.4977 0.9999 0.1901 1
O1 O 0.0457 0.2500 0.4992 1
O2 O 0.2438 0.5245 0.3289 1
O3 O 0.2529 0.5242 0.6665 1
O4 O 0.2791 0.5171 0.9981 1
O5 O 0.4543 0.2500 0.1816 1
O6 O 0.4591 0.2500 0.8179 1
```